First-principles (PBE-GGA) data for an optimized crystal structure of InPBrO2, as listed in Alexandria via LeMat-Bulk.

Values from the calculation:
- Crystal system: tetragonal
- Distance to the lowest polymorph of the same formula: 0.0 kJ/mol of atoms
- Energy: -3.80 eV/atom
- ΔE_f (raw): 0.143 eV/atom
- Spin magnetization: 1.94 μB per cell
- Calculated volume: 20.2 Å³ per atom

The structure in extended XYZ format:
```
5
Lattice="4.045 0.000 0.000 0.000 4.045 0.000 0.000 0.000 6.185" Properties=species:S:1:pos:R:3 pbc="T T T"
P 0.000 0.000 3.092
O 0.000 2.022 0.000
O 2.022 0.000 0.000
Br 2.022 2.022 3.092
In 0.000 0.000 0.000
```

First-principles (PBE-GGA) data for an optimized crystal structure of InHgSe, as listed in Alexandria via LeMat-Bulk.

Values from the calculation:
- Crystal system: trigonal
- Distance to the lowest polymorph of the same formula: 3.6 kJ/mol of atoms
- Energy: -2.34 eV/atom
- ΔE_f (raw): -0.161 eV/atom
- Spin magnetization: 0.00 μB per cell
- Calculated volume: 34.9 Å³ per atom

The structure in extended XYZ format:
```
3
Lattice="4.102 0.000 0.000 2.051 3.552 0.000 2.051 1.184 7.185" Properties=species:S:1:pos:R:3 pbc="T T T"
In 6.153 3.552 6.625
Hg 4.102 2.368 2.364
Se 4.102 2.368 5.234
```

First-principles (PBE-GGA) data for an optimized crystal structure of CePmAlIn, as listed in Alexandria via LeMat-Bulk.

Values from the calculation:
- Crystal system: cubic
- Formation energy: -7.69 kcal/mol of atoms
- Distance to the lowest polymorph of the same formula: 3.4 kJ/mol of atoms
- Energy: -4.62 eV/atom
- Spin magnetization: 0.93 μB per cell
- Calculated volume: 27.0 Å³ per atom

The structure in extended XYZ format:
```
4
Lattice="-3.837 -3.572 1.059 0.228 -2.922 4.473 -3.474 0.904 3.965" Properties=species:S:1:pos:R:3 pbc="T T T"
In -1.771 -1.397 2.374
Al -5.312 -4.192 7.123
Ce -3.541 -2.795 4.749
Pm 0.000 0.000 0.000
```

First-principles (PBE-GGA) data for an optimized crystal structure of TaNiRh2, as listed in Alexandria via LeMat-Bulk.

Values from the calculation:
- Crystal system: trigonal
- Formation energy: -1.68 kcal/mol of atoms
- Energy: -8.16 eV/atom
- Spin magnetization: 1.18 μB per cell
- Calculated volume: 14.7 Å³ per atom

The structure in extended XYZ format:
```
4
Lattice="-0.501 -1.874 8.612 1.865 -3.231 8.001 1.933 -0.502 8.599" Properties=species:S:1:pos:R:3 pbc="T T T"
Ni 2.473 -4.205 18.908
Rh 0.011 -0.018 0.081
Rh 1.638 -2.786 12.525
Ta 0.824 -1.402 6.303
```

First-principles (PBE-GGA) data for an optimized crystal structure of BeCrAg2, as listed in Alexandria via LeMat-Bulk.

Values from the calculation:
- Crystal system: tetragonal
- Formation energy: 10.06 kcal/mol of atoms
- Energy: -4.33 eV/atom
- Spin magnetization: 3.97 μB per cell
- Calculated volume: 15.4 Å³ per atom

The structure in extended XYZ format:
```
4
Lattice="3.982 0.000 0.000 0.000 3.982 0.000 0.000 0.000 3.878" Properties=species:S:1:pos:R:3 pbc="T T T"
Cr 0.000 1.991 1.939
Ag 0.000 0.000 0.000
Ag 1.991 1.991 0.000
Be 1.991 0.000 1.939
```

First-principles (PBE-GGA) data for an optimized crystal structure of Cr2Si2Au, as listed in Alexandria via LeMat-Bulk.

Values from the calculation:
- Crystal system: tetragonal
- Energy: -6.69 eV/atom
- ΔE_f (raw): -0.020 eV/atom
- Spin magnetization: 7.97 μB per cell
- Calculated volume: 13.7 Å³ per atom

The structure in extended XYZ format:
```
10
Lattice="-5.782 -2.811 -2.257 3.435 -3.006 -5.058 0.473 -2.354 1.720" Properties=species:S:1:pos:R:3 pbc="T T T"
Cr 1.573 -3.624 -2.856
Cr -0.714 -5.556 -4.872
Cr -3.447 -4.547 -2.739
Cr -1.159 -2.614 -0.723
Si 0.850 -3.654 -5.234
Si -2.864 -4.339 -5.150
Si -3.196 -2.162 -2.080
Si 0.518 -1.477 -2.164
Au 0.000 0.000 0.000
Au -1.173 -2.908 -3.657
```

First-principles (PBE-GGA) data for an optimized crystal structure of AgGeTeS, as listed in Alexandria via LeMat-Bulk.

Values from the calculation:
- Crystal system: monoclinic
- Energy: -3.76 eV/atom
- ΔE_f (raw): -0.078 eV/atom
- Spin magnetization: 0.00 μB per cell
- Calculated volume: 27.2 Å³ per atom

The structure in extended XYZ format:
```
4
Lattice="-1.129 -0.467 3.994 -1.765 -3.125 -2.136 6.526 -2.660 -1.635" Properties=species:S:1:pos:R:3 pbc="T T T"
Ag -0.976 -3.519 -1.669
Ge 3.600 -3.688 -1.524
Te 3.088 -2.116 0.718
S -1.113 -2.245 0.581
```

First-principles (PBE-GGA) data for an optimized crystal structure of TbEr3In2, as listed in Alexandria via LeMat-Bulk.

Values from the calculation:
- Crystal system: orthorhombic
- Formation energy: 2.84 kcal/mol of atoms
- Distance to the lowest polymorph of the same formula: 38.4 kJ/mol of atoms
- Energy: -3.84 eV/atom
- Spin magnetization: 0.00 μB per cell
- Calculated volume: 29.4 Å³ per atom

The structure in extended XYZ format:
```
6
Lattice="3.379 0.000 0.000 0.000 5.593 0.000 -1.689 -2.796 9.332" Properties=species:S:1:pos:R:3 pbc="T T T"
Tb 0.000 0.000 0.000
Er 0.000 2.796 0.000
Er 1.689 2.796 5.794
Er 0.000 0.000 3.538
In 1.689 2.796 2.687
In 0.000 0.000 6.645
```

First-principles (PBE-GGA) data for an optimized crystal structure of TbCe2Dy6Y3, as listed in Alexandria via LeMat-Bulk.

Values from the calculation:
- Crystal system: monoclinic
- Formation energy: 1.13 kcal/mol of atoms
- Energy: -5.24 eV/atom
- Spin magnetization: 1.83 μB per cell
- Calculated volume: 31.5 Å³ per atom

The structure in extended XYZ format:
```
12
Lattice="-1.879 3.031 5.002 -3.974 -3.438 -3.181 4.629 -9.028 5.952" Properties=species:S:1:pos:R:3 pbc="T T T"
Tb 0.000 0.000 0.000
Ce -3.275 -1.282 -0.453
Ce -2.577 0.874 2.274
Dy -0.552 -6.006 7.211
Dy -3.227 -2.546 2.839
Dy -0.672 -3.429 0.561
Dy -1.255 -8.177 4.464
Dy 2.003 -6.888 4.933
Dy 0.031 -1.258 3.308
Y -1.311 -6.877 1.154
Y 0.087 -2.558 6.618
Y -0.612 -4.717 3.886
```

First-principles (PBE-GGA) data for an optimized crystal structure of DyYTlZn, as listed in Alexandria via LeMat-Bulk.

Values from the calculation:
- Crystal system: tetragonal
- Formation energy: -8.42 kcal/mol of atoms
- Distance to the lowest polymorph of the same formula: 0.0 kJ/mol of atoms
- Energy: -4.04 eV/atom
- Spin magnetization: 0.00 μB per cell
- Calculated volume: 25.0 Å³ per atom

The structure in extended XYZ format:
```
4
Lattice="3.672 0.000 0.000 0.000 3.672 0.000 0.000 0.000 7.420" Properties=species:S:1:pos:R:3 pbc="T T T"
Dy 0.000 0.000 2.804
Y 0.000 0.000 6.206
Tl 1.836 1.836 0.800
Zn 1.836 1.836 4.495
```

First-principles (PBE-GGA) data for an optimized crystal structure of CuMo2HOs, as listed in Alexandria via LeMat-Bulk.

Values from the calculation:
- Crystal system: tetragonal
- Energy: -7.84 eV/atom
- Spin magnetization: 0.00 μB per cell
- Calculated volume: 12.1 Å³ per atom

The structure in extended XYZ format:
```
5
Lattice="-1.808 -2.589 -2.345 3.492 -1.415 -1.130 -0.099 -2.581 2.925" Properties=species:S:1:pos:R:3 pbc="T T T"
H 0.000 0.000 0.000
Mo 1.746 -0.707 -0.565
Mo -0.904 -1.294 -1.173
Os 0.792 -3.292 -0.275
Cu -0.050 -1.291 1.463
```

First-principles (PBE-GGA) data for an optimized crystal structure of GdThTcIr, as listed in Alexandria via LeMat-Bulk.

Values from the calculation:
- Crystal system: cubic
- Formation energy: -8.69 kcal/mol of atoms
- Energy: -10.56 eV/atom
- Spin magnetization: 6.91 μB per cell
- Calculated volume: 21.7 Å³ per atom

The structure in extended XYZ format:
```
4
Lattice="-4.605 -1.865 -0.018 -1.741 -2.279 -4.056 -0.688 -4.920 0.017" Properties=species:S:1:pos:R:3 pbc="T T T"
Gd -1.758 -2.266 -1.014
Ir 0.000 0.000 0.000
Tc -3.517 -4.532 -2.029
Th -5.275 -6.798 -3.043
```

First-principles (PBE-GGA) data for an optimized crystal structure of K4TaIr, as listed in Alexandria via LeMat-Bulk.

Values from the calculation:
- Crystal system: cubic
- Formation energy: 38.74 kcal/mol of atoms
- Energy: -2.50 eV/atom
- Spin magnetization: 3.88 μB per cell
- Calculated volume: 30.7 Å³ per atom

The structure in extended XYZ format:
```
6
Lattice="5.999 1.193 1.843 1.796 -1.211 6.010 3.986 -4.839 1.229" Properties=species:S:1:pos:R:3 pbc="T T T"
K 7.435 -1.211 4.325
K 6.417 -4.262 4.015
K 5.309 -2.427 6.433
K 4.400 -1.814 3.393
Ta 8.835 -3.643 6.812
Ir 0.000 0.000 0.000
```

First-principles (PBE-GGA) data for an optimized crystal structure of ZrTlTe2N, as listed in Alexandria via LeMat-Bulk.

Values from the calculation:
- Crystal system: tetragonal
- Distance to the lowest polymorph of the same formula: 117.8 kJ/mol of atoms
- Energy: -4.04 eV/atom
- ΔE_f (raw): 1.062 eV/atom
- Spin magnetization: 0.19 μB per cell
- Calculated volume: 27.7 Å³ per atom

The structure in extended XYZ format:
```
5
Lattice="-0.803 4.345 3.743 2.498 -3.136 4.178 3.677 1.563 -1.025" Properties=species:S:1:pos:R:3 pbc="T T T"
Tl 0.000 0.000 0.000
Te 1.249 -1.568 2.089
Te -0.402 2.173 1.871
Zr 2.686 1.386 3.448
N 1.838 0.782 -0.513
```

First-principles (PBE-GGA) data for an optimized crystal structure of ZnNi4Sn, as listed in Alexandria via LeMat-Bulk.

Values from the calculation:
- Crystal system: monoclinic
- Formation energy: -1.29 kcal/mol of atoms
- Energy: -4.79 eV/atom
- Spin magnetization: 0.00 μB per cell
- Calculated volume: 13.0 Å³ per atom

The structure in extended XYZ format:
```
12
Lattice="-1.021 -3.765 -2.173 2.976 -2.166 2.354 -6.533 1.307 5.393" Properties=species:S:1:pos:R:3 pbc="T T T"
Zn -3.777 -1.229 1.610
Zn -1.779 -0.429 3.873
Ni -5.505 -1.613 3.436
Ni -0.995 -3.524 0.039
Ni 0.926 -3.010 2.137
Ni -3.584 -1.100 5.535
Ni -4.116 0.524 3.651
Ni -1.366 -1.910 1.989
Ni -0.462 -5.148 1.922
Ni -3.213 -2.713 3.585
Sn 1.445 -4.526 0.090
Sn 0.510 -1.405 0.090
```

First-principles (PBE-GGA) data for an optimized crystal structure of ZnH2Br2O, as listed in Alexandria via LeMat-Bulk.

Values from the calculation:
- Crystal system: orthorhombic
- Energy: -3.60 eV/atom
- Spin magnetization: 0.00 μB per cell
- Calculated volume: 23.7 Å³ per atom

The structure in extended XYZ format:
```
12
Lattice="-5.057 -1.569 0.664 -0.894 -0.139 -7.133 2.626 -7.009 3.431" Properties=species:S:1:pos:R:3 pbc="T T T"
Zn -2.419 -0.639 -5.528
Zn -4.400 -1.339 -0.827
H -4.589 -2.145 -5.237
H -2.431 -7.634 -1.777
H -1.511 -1.275 -1.180
H 0.647 -6.764 2.280
Br -0.820 -2.295 -5.217
Br 0.602 -5.391 -1.711
Br -1.497 -6.109 2.047
Br -2.919 -3.013 -1.459
O -4.376 -1.239 -5.626
O -1.213 -0.356 -0.890
```

First-principles (PBE-GGA) data for an optimized crystal structure of Pm4Zn2Ga, as listed in Alexandria via LeMat-Bulk.

Values from the calculation:
- Crystal system: trigonal
- Formation energy: -6.01 kcal/mol of atoms
- Energy: -3.77 eV/atom
- Spin magnetization: 0.00 μB per cell
- Calculated volume: 26.9 Å³ per atom

The structure in extended XYZ format:
```
7
Lattice="-0.858 5.049 0.263 -4.672 1.748 1.189 0.165 2.191 8.491" Properties=species:S:1:pos:R:3 pbc="T T T"
Pm -4.759 6.769 4.529
Pm -0.607 2.220 5.413
Pm -3.406 4.521 2.087
Pm -1.959 4.467 7.855
Zn -4.008 6.741 7.522
Zn -1.358 2.248 2.421
Ga 0.000 0.000 0.000
```

First-principles (PBE-GGA) data for an optimized crystal structure of Li2CdIr, as listed in Alexandria via LeMat-Bulk.

Values from the calculation:
- Crystal system: orthorhombic
- Formation energy: 0.70 kcal/mol of atoms
- Energy: -3.37 eV/atom
- Spin magnetization: 0.00 μB per cell
- Calculated volume: 16.7 Å³ per atom

The structure in extended XYZ format:
```
4
Lattice="-2.679 0.430 -0.622 0.618 -2.545 0.945 -1.605 2.929 8.937" Properties=species:S:1:pos:R:3 pbc="T T T"
Cd -0.814 1.486 4.533
Ir -2.254 1.174 6.968
Li -1.571 2.865 8.743
Li -1.437 -0.317 2.420
```

First-principles (PBE-GGA) data for an optimized crystal structure of Sm4GaBiN, as listed in Alexandria via LeMat-Bulk.

Values from the calculation:
- Crystal system: orthorhombic
- Energy: -5.70 eV/atom
- ΔE_f (raw): -0.826 eV/atom
- Spin magnetization: 0.00 μB per cell
- Calculated volume: 26.7 Å³ per atom

The structure in extended XYZ format:
```
14
Lattice="-2.923 3.265 5.219 -6.172 -1.436 -2.559 1.313 -8.479 1.591" Properties=species:S:1:pos:R:3 pbc="T T T"
Sm -3.129 -4.445 5.478
Sm -4.750 -6.638 1.493
Sm -4.654 -2.205 -1.227
Sm -3.032 -0.012 2.758
Sm -3.891 -3.325 2.126
Sm 0.656 -4.240 0.795
Sm -0.805 -2.607 3.405
Sm -2.430 -4.958 -0.484
Ga -1.577 -1.946 0.334
Ga -6.205 -4.704 3.917
Bi -6.122 -0.875 1.568
Bi -1.661 -5.775 2.683
N -4.702 -4.426 0.136
N -3.080 -2.224 4.115
```

First-principles (PBE-GGA) data for an optimized crystal structure of LiRu2Br, as listed in Alexandria via LeMat-Bulk.

Values from the calculation:
- Crystal system: tetragonal
- Distance to the lowest polymorph of the same formula: 63.9 kJ/mol of atoms
- Energy: -4.71 eV/atom
- ΔE_f (raw): 0.827 eV/atom
- Spin magnetization: 0.00 μB per cell
- Calculated volume: 18.0 Å³ per atom

The structure in extended XYZ format:
```
8
Lattice="7.923 0.000 0.000 0.000 7.923 0.000 3.962 3.962 2.289" Properties=species:S:1:pos:R:3 pbc="T T T"
Ru 6.387 1.981 0.572
Ru 1.536 5.942 0.572
Ru 5.942 5.498 1.717
Ru 9.904 10.348 1.717
Br 0.000 0.000 0.000
Br 7.923 3.962 1.145
Li 3.962 3.962 0.000
Li 3.962 7.923 1.145
```